Record 1
VASP calculation (GGA-PBE) on a relaxed NaCaSnTe2 crystal.

Cell lengths 6.0305, 6.0305, 5.6616 Å; angles 90.00, 90.00, 90.00 degrees
Space group P4/mmm (No. 123)
Symmetry-distinct sites (fractional):
Na1 0.0000 0.0000 0.0000 (multiplicity 1)
Ca1 0.5000 0.5000 0.0000 (multiplicity 1)
Sn1 0.5000 0.5000 0.5000 (multiplicity 1)
Te1 0.0000 0.5000 0.5000 (multiplicity 2)

Values from the calculation:
Crystal system: tetragonal
Energy relative to the elements, uncorrected (eV per atom): -0.153
Mass density (g/cm³): 3.52
Magnetic moment (μB per atom): 0.00

---

Record 2
VASP calculation (GGA-PBE) on a relaxed Pu3ZnNi8 crystal.

Cell lengths 4.9691, 4.9691, 24.3246 Å; angles 90.00, 90.00, 120.00 degrees
Space group R3m (No. 160, hexagonal axes)
Symmetry-distinct sites (fractional):
Pu1 0.0000 0.0000 0.0000 (multiplicity 3)
Pu2 0.0000 0.0000 0.1265 (multiplicity 3)
Pu3 0.0000 0.0000 0.6222 (multiplicity 3)
Zn1 0.0000 0.0000 0.4978 (multiplicity 3)
Ni1 0.0000 0.0000 0.3116 (multiplicity 3)
Ni2 0.0000 0.0000 0.8123 (multiplicity 3)
Ni3 0.9999 0.4999 0.5599 (multiplicity 9)
Ni4 0.0030 0.5015 0.0638 (multiplicity 9)

Values from the calculation:
Crystal system: trigonal
Calculated formation energy (eV/f.u.): -3.01
Mass density (g/cm³): 12.13
Magnetic moment (μB per atom): 1.20

---

Record 3
VASP calculation (GGA-PBE) on a relaxed TaZn2Co crystal.

Cell lengths 6.0621, 6.0621, 6.0621 Å; angles 90.00, 90.00, 90.00 degrees
Space group Fm-3m (No. 225)
Symmetry-distinct sites (fractional):
Ta1 0.0000 0.0000 0.0000 (multiplicity 4)
Zn1 0.2500 0.2500 0.2500 (multiplicity 8)
Co1 0.0000 0.0000 0.5000 (multiplicity 4)

Values from the calculation:
Crystal system: cubic
Calculated formation energy (eV/f.u.): 0.72
Mass density (g/cm³): 11.05
ΔE to the lowest computed polymorph (eV per formula unit): 1.03
Magnetic moment (μB per atom): 0.05

---

Record 4
VASP calculation (GGA-PBE) on a relaxed Cs2MnAgBr6 crystal.

Cell lengths 7.6696, 7.6696, 6.7954 Å; angles 90.00, 90.00, 120.00 degrees
Space group P-3m1 (No. 164)
Symmetry-distinct sites (fractional):
Cs1 0.3333 0.6667 0.2411 (multiplicity 2)
Mn1 0.0000 0.0000 0.0000 (multiplicity 1)
Ag1 0.0000 0.0000 0.5000 (multiplicity 1)
Br1 0.1607 0.3214 0.7815 (multiplicity 6)

Values from the calculation:
Crystal system: trigonal
Energy relative to the elements, uncorrected (eV per atom): -1.076
Mass density (g/cm³): 4.36
Magnetic moment (μB per atom): 0.40

---

Record 5
VASP calculation (GGA-PBE) on a relaxed BeCu3Ni crystal.

Cell lengths 4.3274, 4.3274, 4.3274 Å; angles 90.00, 90.00, 90.00 degrees
Space group Pm-3m (No. 221)
Symmetry-distinct sites (fractional):
Be1 0.0000 0.0000 0.0000 (multiplicity 1)
Cu1 0.0000 0.5000 0.5000 (multiplicity 3)
Ni1 0.5000 0.5000 0.5000 (multiplicity 1)

Values from the calculation:
Crystal system: cubic
Calculated formation energy (eV/f.u.): 5.65
Mass density (g/cm³): 5.29
ΔE to the lowest computed polymorph (eV per formula unit): 3.01
Magnetic moment (μB per atom): 0.00

---

Record 6
VASP calculation (GGA-PBE) on a relaxed ZrCu2Sb crystal.

Cell lengths 5.7449, 9.7496, 2.9902 Å; angles 90.00, 118.63, 90.00 degrees
Space group C2/m (No. 12)
Symmetry-distinct sites (fractional):
Zr1 0.0000 0.0000 0.0000 (multiplicity 2)
Cu1 0.2500 0.2500 0.5000 (multiplicity 4)
Sb1 0.0000 0.5000 0.0000 (multiplicity 2)

Values from the calculation:
Crystal system: monoclinic
Energy relative to the elements, uncorrected (eV per atom): 0.055
Mass density (g/cm³): 7.68
Magnetic moment (μB per atom): 0.00

---

- The highest magnetic moment belongs to which entry?
  Pu3ZnNi8

---

- Which value of mass density does entry 6 give?
  7.68 g/cm³

---

Repeat the fifth record exactly.
VASP calculation (GGA-PBE) on a relaxed BeCu3Ni crystal.

Cell lengths 4.3274, 4.3274, 4.3274 Å; angles 90.00, 90.00, 90.00 degrees
Space group Pm-3m (No. 221)
Symmetry-distinct sites (fractional):
Be1 0.0000 0.0000 0.0000 (multiplicity 1)
Cu1 0.0000 0.5000 0.5000 (multiplicity 3)
Ni1 0.5000 0.5000 0.5000 (multiplicity 1)

Values from the calculation:
Crystal system: cubic
Calculated formation energy (eV/f.u.): 5.65
Mass density (g/cm³): 5.29
ΔE to the lowest computed polymorph (eV per formula unit): 3.01
Magnetic moment (μB per atom): 0.00

---

- Among the records above, which one has the lowest mass density?
  NaCaSnTe2